(1)
A plane-wave DFT calculation with PBE-GGA was carried out for a geometry-optimized InFe2Rh structure.

Its density of states at the Fermi level is 1.10 states/eV per atom. For the total DFT energy (no corrections), the calculation gives -26.38 eV per cell. The value obtained for the formation energy is 160 meV/atom.

The space group is P4/mmm (No. 123) and the conventional cell measures 2.830, 2.830 and 7.441 Å, with angles of 90.00, 90.00 and 90.00 degrees. The asymmetric unit holds In at (0.000, 0.000, 0.000), Fe at (0.500, 0.500, 0.274) and Rh at (0.000, 0.000, 0.500).

---

(2)
A plane-wave DFT calculation with PBE-GGA was carried out for a geometry-optimized Tb6Pr3Sm2Dy structure.

Its density of states at the Fermi level is 1.28 states/eV per atom. For the total DFT energy (no corrections), the calculation gives -111.97 eV per cell. The value obtained for the formation energy is 15 meV/atom.

The space group is C2/m (No. 12) and the conventional cell measures 6.260, 10.840 and 11.921 Å, with angles of 90.00, 100.06 and 90.00 degrees. The asymmetric unit holds Tb at (0.249, 0.166, 0.247), Tb at (0.250, 0.000, 0.753), Pr at (0.000, 0.167, 0.500), Pr at (0.000, 0.500, 0.500), Sm at (0.000, 0.333, 0.000) and Dy at (0.000, 0.000, 0.000).